Tl5Cd2In5 | PBE | optimized geometry

POSCAR file:
```
Tl5Cd2In5
1.0
7.782 -2.780 0.000
7.782 2.780 0.000
-5.542 0.000 8.111
Tl Cd In
5 2 5
Direct
0.000 0.000 0.000
0.164 0.164 0.409
0.254 0.254 0.123
0.746 0.746 0.877
0.836 0.836 0.591
0.482 0.482 0.180
0.518 0.518 0.820
0.081 0.081 0.708
0.318 0.318 0.806
0.500 0.500 0.500
0.682 0.682 0.194
0.919 0.919 0.292
```

Values from the calculation:
For the magnetization, the calculation gives 0.00 Bohr magnetons per cell. The calculation puts the formation energy at 0.65 eV per formula unit.


NbPt2O2 | PBE | optimized geometry

POSCAR file:
```
NbPt2O2
1.0
-2.384 2.384 3.193
2.384 -2.384 3.193
2.384 2.384 -3.193
Nb Pt O
1 2 2
Direct
0.000 0.000 0.000
0.250 0.750 0.500
0.750 0.250 0.500
0.306 0.306 0.000
0.694 0.694 0.000
```

Values from the calculation:
For the magnetization, the calculation gives 0.00 Bohr magnetons per cell. The calculation puts the relative energy among the computed polymorphs at 793 meV per atom.


ThNpBiTe | PBE | optimized geometry

POSCAR file:
```
ThNpBiTe
1.0
0.000 3.872 3.872
3.872 0.000 3.872
3.872 3.872 0.000
Th Np Bi Te
1 1 1 1
Direct
0.000 0.000 0.000
0.500 0.500 0.500
0.750 0.750 0.750
0.250 0.250 0.250
```

Values from the calculation:
For the magnetization, the calculation gives 5.43 Bohr magnetons per cell. The total energy is -7.31 eV/atom.


What is the magnetization in the first record?
0.00 Bohr magnetons per cell